Record 1
! GGA-PBE Mg2GaFeH, optimized geometry; values from VASP
&SYSTEM
  ibrav = 0, nat = 5, ntyp = 4
/
ATOMIC_SPECIES
Mg 24.30 Mg.upf
Ga 69.72 Ga.upf
Fe 55.84 Fe.upf
H 1.01 H.upf
ATOMIC_POSITIONS crystal
Mg 0.0000 0.5000 0.0000
Mg 0.5000 0.0000 0.0000
Ga 0.0000 0.0000 0.5000
Fe 0.5000 0.5000 0.5000
H 0.5000 0.5000 0.0000
CELL_PARAMETERS angstrom
4.3975 0.0000 0.0000
0.0000 4.3975 0.0000
0.0000 0.0000 3.4463
! Total moment in μB per formula unit: 1.457
! Fermi-level density of states in states/eV per cell: 3.83
! Crystal system: tetragonal
! Calculated total energy in eV per cell: -17.8



Record 2
! GGA-PBE Mn2GaFeH, optimized geometry; values from VASP
&SYSTEM
  ibrav = 0, nat = 5, ntyp = 4
/
ATOMIC_SPECIES
Mn 54.94 Mn.upf
Ga 69.72 Ga.upf
Fe 55.84 Fe.upf
H 1.01 H.upf
ATOMIC_POSITIONS crystal
Mn 0.0000 0.5000 0.0000
Mn 0.5000 0.0000 0.0000
Ga 0.0000 0.0000 0.5000
Fe 0.5000 0.5000 0.5000
H 0.5000 0.5000 0.0000
CELL_PARAMETERS angstrom
3.7399 0.0000 0.0000
0.0000 3.7399 0.0000
0.0000 0.0000 3.6346
! Energy above the lowest structure with this stoichiometry in meV/atom: 0
! Total moment in μB per formula unit: 6.189
! Fermi-level density of states in states/eV per cell: 3.24
! Crystal system: tetragonal